Entry 1:
# Tb3YBi2, optimized geometry, DFT PBE
data_Tb3YBi2
_chemical_formula_sum 'Tb3 Y1 Bi2'
_symmetry_space_group_name_H-M 'P -4 m 2'
_symmetry_Int_Tables_number 115
_cell_length_a 4.571
_cell_length_b 4.571
_cell_length_c 8.663
_cell_angle_alpha 90.00
_cell_angle_beta 90.00
_cell_angle_gamma 90.00
loop_
_symmetry_equiv_pos_as_xyz
'x,y,z'
'y,-x,-z'
'-x,-y,z'
'-y,x,-z'
'-x,y,z'
'-y,-x,-z'
'x,-y,z'
'y,x,-z'
loop_
_atom_site_label
_atom_site_type_symbol
_atom_site_fract_x
_atom_site_fract_y
_atom_site_fract_z
_atom_site_occupancy
Tb1 Tb 0.000 0.000 0.000 1
Tb2 Tb 0.000 0.500 0.653 1
Y1 Y 0.500 0.500 0.000 1
Bi1 Bi 0.000 0.500 0.283 1
# * E above lowest polymorph: 0 meV per atom
# * formation enthalpy at 0 K: -0.6122 eV/atom

=====

Entry 2:
# Ac5CoN, optimized geometry, DFT PBE
data_Ac5CoN
_chemical_formula_sum 'Ac10 Co2 N2'
_symmetry_space_group_name_H-M 'P -1'
_symmetry_Int_Tables_number 2
_cell_length_a 7.586
_cell_length_b 7.590
_cell_length_c 10.812
_cell_angle_alpha 108.37
_cell_angle_beta 110.08
_cell_angle_gamma 93.49
loop_
_symmetry_equiv_pos_as_xyz
'x,y,z'
'-x,-y,-z'
loop_
_atom_site_label
_atom_site_type_symbol
_atom_site_fract_x
_atom_site_fract_y
_atom_site_fract_z
_atom_site_occupancy
Ac1 Ac 0.098 0.150 0.345 1
Ac2 Ac 0.174 0.426 0.750 1
Ac3 Ac 0.307 0.753 0.156 1
Ac4 Ac 0.310 0.197 0.049 1
Ac5 Ac 0.353 0.738 0.549 1
Co1 Co 0.000 0.500 0.500 1
Co2 Co 0.500 0.500 0.000 1
N1 N 0.350 0.100 0.250 1
# * energy relative to the elements, uncorrected: -0.23 eV per atom

=====

Entry 3:
# Ca3Ac3AgS8, optimized geometry, DFT PBE
data_Ca3Ac3AgS8
_chemical_formula_sum 'Ca9 Ac9 Ag3 S24'
_symmetry_space_group_name_H-M 'R -3 m'
_symmetry_Int_Tables_number 166
_symmetry_space_group_name_Hall '-R 3 2"'
_cell_length_a 8.3730
_cell_length_b 8.3730
_cell_length_c 20.1896
_cell_angle_alpha 90.00
_cell_angle_beta 90.00
_cell_angle_gamma 120.00
loop_
_atom_site_label
_atom_site_type_symbol
_atom_site_fract_x
_atom_site_fract_y
_atom_site_fract_z
_atom_site_occupancy
Ca1 Ca 0.0000 0.5000 0.0000 1
Ac1 Ac 0.0000 0.5000 0.5000 1
Ag1 Ag 0.0000 0.0000 0.5000 1
S1 S 0.0000 0.0000 0.2549 1
S2 S 0.0083 0.5041 0.2505 1
# * energy relative to the elements, uncorrected: -1.80 eV per atom

=====

| no. | magnetization (μB per atom) |
| --- | --- |
| 1 | 0.00 |
| 2 | 0.00 |
| 3 | 0.00 |